## A
The following is a DFT calculation (PBE) of a geometry-optimized TePbCl2 structure.

Space-group type: C2/m
Spin magnetization in μB per formula unit: 0.0
ρ in g/cm3: 5.8

Cell: 6.8539 9.5233 4.9482 Å, 90.00 133.55 90.00°
Last column: nearest neighbours and their distance in Å.
Element x y z (fractional)
Te 0.0000 0.0000 0.0000  4 Cl 2.98
Te 0.5000 0.5000 0.0000  4 Cl 2.98
Pb 0.0000 0.5000 0.0000  4 Cl 2.98
Pb 0.5000 0.0000 0.0000  4 Cl 2.98
Cl 0.2500 0.2500 0.5000  2 Pb 2.98, 2 Te 2.98
Cl 0.2500 0.7500 0.5000  2 Pb 2.98, 2 Te 2.98
Cl 0.7500 0.2500 0.5000  2 Pb 2.98, 2 Te 2.98
Cl 0.7500 0.7500 0.5000  2 Pb 2.98, 2 Te 2.98

***

## B
The following is a DFT calculation (PBE) of a geometry-optimized TePbCl2 structure.

Space-group type: Pm
Spin magnetization in μB per formula unit: 0.0
ρ in g/cm3: 5.6

Cell: 4.7166 5.1811 5.4628 Å, 90.00 114.71 90.00°
Last column: nearest neighbours and their distance in Å.
Element x y z (fractional)
Te 0.0000 0.0000 0.0000  1 Cl 2.40
Pb 0.3913 0.5000 0.9008  1 Cl 2.76
Cl 0.2303 0.0000 0.4836  1 Te 2.40
Cl 0.7085 0.5000 0.4548  1 Pb 2.76

***

## C
The following is a DFT calculation (PBE) of a geometry-optimized TePbCl2 structure.

Space-group type: Pmmm
Spin magnetization in μB per formula unit: 0.0
ρ in g/cm3: 6.3

Cell: 3.6498 4.8163 6.0716 Å, 90.00 90.00 90.00°
Last column: nearest neighbours and their distance in Å.
Element x y z (fractional)
Te 0.0000 0.0000 0.0000  4 Cl 3.02
Pb 0.5000 0.0000 0.5000  4 Cl 3.02
Cl 0.0000 0.5000 0.5000  4 Pb 3.02
Cl 0.5000 0.5000 0.0000  4 Te 3.02

***

Stability order, top to bottom: B, A, C

***

## A
The following is a DFT calculation (PBE) of a geometry-optimized TePbCl2 structure.

Space-group type: P4mm
Spin magnetization in μB per formula unit: 0.0
ρ in g/cm3: 5.8

Cell: 3.7478 3.7478 8.2945 Å, 90.00 90.00 90.00°
Last column: nearest neighbours and their distance in Å.
Element x y z (fractional)
Te 0.0000 0.0000 0.0000  4 Cl 3.07
Pb 0.5000 0.5000 0.7204  4 Cl 3.03
Cl 0.0000 0.0000 0.5444  4 Pb 3.03
Cl 0.5000 0.5000 0.1866  4 Te 3.07

***

## B
The following is a DFT calculation (PBE) of a geometry-optimized TePbCl2 structure.

Space-group type: R-3m
Spin magnetization in μB per formula unit: 0.4
ρ in g/cm3: 4.5

Cell: 3.8341 3.8341 35.1616 Å, 90.00 90.00 120.00°
Last column: nearest neighbours and their distance in Å.
Element x y z (fractional)
Te 0.0000 0.0000 0.0000  6 Te 3.83
Te 0.3333 0.6667 0.6667  6 Te 3.83
Te 0.6667 0.3333 0.3333  6 Te 3.83
Pb 0.0000 0.0000 0.5000  6 Cl 2.87
Pb 0.3333 0.6667 0.1667  6 Cl 2.87
Pb 0.6667 0.3333 0.8333  6 Cl 2.87
Cl 0.0000 0.0000 0.2187  3 Pb 2.87
Cl 0.0000 0.0000 0.7813  3 Pb 2.87
Cl 0.3333 0.6667 0.4480  3 Pb 2.87
Cl 0.3333 0.6667 0.8854  3 Pb 2.87
Cl 0.6667 0.3333 0.1146  3 Pb 2.87
Cl 0.6667 0.3333 0.5520  3 Pb 2.87

***

Stability order, top to bottom: B, A

***

## A
The following is a DFT calculation (PBE) of a geometry-optimized TePbCl2 structure.

Space-group type: I-42d
Spin magnetization in μB per formula unit: 2.0
ρ in g/cm3: 5.3

Cell: 8.6659 8.6659 6.8122 Å, 90.00 90.00 90.00°
Last column: nearest neighbours and their distance in Å.
Element x y z (fractional)
Te 0.0000 0.0000 0.0000  2 Pb 3.41, 8 Cl 3.51-3.76
Te 0.0000 0.5000 0.2500  2 Pb 3.41, 8 Cl 3.51-3.76
Te 0.5000 0.0000 0.7500  2 Pb 3.41, 8 Cl 3.51-3.76
Te 0.5000 0.5000 0.5000  2 Pb 3.41, 8 Cl 3.51-3.76
Pb 0.0000 0.0000 0.5000  4 Cl 2.89
Pb 0.0000 0.5000 0.7500  4 Cl 2.89
Pb 0.5000 0.0000 0.2500  4 Cl 2.89
Pb 0.5000 0.5000 0.0000  4 Cl 2.89
Cl 0.1970 0.7500 0.6250  2 Pb 2.89
Cl 0.2500 0.1970 0.3750  2 Pb 2.89
Cl 0.2500 0.3030 0.8750  2 Pb 2.89
Cl 0.3030 0.7500 0.1250  2 Pb 2.89
Cl 0.6970 0.2500 0.1250  2 Pb 2.89
Cl 0.7500 0.6970 0.8750  2 Pb 2.89
Cl 0.7500 0.8030 0.3750  2 Pb 2.89
Cl 0.8030 0.2500 0.6250  2 Pb 2.89

***

## B
The following is a DFT calculation (PBE) of a geometry-optimized TePbCl2 structure.

Space-group type: F-43m
Spin magnetization in μB per formula unit: 0.0
ρ in g/cm3: 6.6

Cell: 7.4091 7.4091 7.4091 Å, 90.00 90.00 90.00°
Last column: nearest neighbours and their distance in Å.
Element x y z (fractional)
Te 0.0000 0.0000 0.0000  4 Cl 3.21, 4 Pb 3.21
Te 0.0000 0.5000 0.5000  4 Cl 3.21, 4 Pb 3.21
Te 0.5000 0.0000 0.5000  4 Cl 3.21, 4 Pb 3.21
Te 0.5000 0.5000 0.0000  4 Cl 3.21, 4 Pb 3.21
Pb 0.2500 0.2500 0.2500  4 Cl 3.21, 4 Te 3.21
Pb 0.2500 0.7500 0.7500  4 Cl 3.21, 4 Te 3.21
Pb 0.7500 0.2500 0.7500  4 Cl 3.21, 4 Te 3.21
Pb 0.7500 0.7500 0.2500  4 Cl 3.21, 4 Te 3.21
Cl 0.0000 0.0000 0.5000  4 Cl 3.21, 4 Pb 3.21
Cl 0.0000 0.5000 0.0000  4 Cl 3.21, 4 Pb 3.21
Cl 0.2500 0.2500 0.7500  4 Cl 3.21, 4 Te 3.21
Cl 0.2500 0.7500 0.2500  4 Cl 3.21, 4 Te 3.21
Cl 0.5000 0.0000 0.0000  4 Cl 3.21, 4 Pb 3.21
Cl 0.5000 0.5000 0.5000  4 Cl 3.21, 4 Pb 3.21
Cl 0.7500 0.2500 0.2500  4 Cl 3.21, 4 Te 3.21
Cl 0.7500 0.7500 0.7500  4 Cl 3.21, 4 Te 3.21

***

Stability order, top to bottom: A, B

***

## A
The following is a DFT calculation (PBE) of a geometry-optimized TePbCl2 structure.

Space-group type: P4/mmm
Spin magnetization in μB per formula unit: 0.0
ρ in g/cm3: 4.9

Cell: 3.4574 3.4574 11.5297 Å, 90.00 90.00 90.00°
Last column: nearest neighbours and their distance in Å.
Element x y z (fractional)
Te 0.0000 0.0000 0.0000  4 Te 3.46
Pb 0.0000 0.0000 0.5000  8 Cl 2.99
Cl 0.5000 0.5000 0.3503  4 Pb 2.99
Cl 0.5000 0.5000 0.6497  4 Pb 2.99

***

## B
The following is a DFT calculation (PBE) of a geometry-optimized TePbCl2 structure.

Space-group type: R3m
Spin magnetization in μB per formula unit: 0.0
ρ in g/cm3: 5.6

Cell: 3.7781 3.7781 29.0724 Å, 90.00 90.00 120.00°
Last column: nearest neighbours and their distance in Å.
Element x y z (fractional)
Te 0.0000 0.0000 0.0000  3 Cl 3.03, 3 Pb 3.34
Te 0.3333 0.6667 0.6667  3 Cl 3.03, 3 Pb 3.34
Te 0.6667 0.3333 0.3333  3 Cl 3.03, 3 Pb 3.34
Pb 0.0000 0.0000 0.7535  3 Cl 2.88
Pb 0.3333 0.6667 0.4202  3 Cl 2.88
Pb 0.6667 0.3333 0.0868  3 Cl 2.88
Cl 0.0000 0.0000 0.2609  3 Te 3.03
Cl 0.0000 0.0000 0.4846  3 Pb 2.88
Cl 0.3333 0.6667 0.1513  3 Pb 2.88
Cl 0.3333 0.6667 0.9275  3 Te 3.03
Cl 0.6667 0.3333 0.5942  3 Te 3.03
Cl 0.6667 0.3333 0.8180  3 Pb 2.88

***

Stability order, top to bottom: A, B

***

## A
The following is a DFT calculation (PBE) of a geometry-optimized TePbCl2 structure.

Space-group type: I-4m2
Spin magnetization in μB per formula unit: 0.0
ρ in g/cm3: 6.3

Cell: 4.3003 4.3003 11.6367 Å, 90.00 90.00 90.00°
Last column: nearest neighbours and their distance in Å.
Element x y z (fractional)
Te 0.0000 0.0000 0.0000  4 Cl 3.04
Te 0.5000 0.5000 0.5000  4 Cl 3.04
Pb 0.0000 0.5000 0.2500  4 Cl 3.04
Pb 0.5000 0.0000 0.7500  4 Cl 3.04
Cl 0.0000 0.0000 0.5000  4 Te 3.04
Cl 0.0000 0.5000 0.7500  4 Pb 3.04
Cl 0.5000 0.0000 0.2500  4 Pb 3.04
Cl 0.5000 0.5000 0.0000  4 Te 3.04

***

## B
The following is a DFT calculation (PBE) of a geometry-optimized TePbCl2 structure.

Space-group type: P4/mmm
Spin magnetization in μB per formula unit: 0.0
ρ in g/cm3: 6.4

Cell: 4.7851 4.7851 4.5757 Å, 90.00 90.00 90.00°
Last column: nearest neighbours and their distance in Å.
Element x y z (fractional)
Te 0.0000 0.0000 0.0000  8 Cl 3.31, 4 Pb 3.38
Pb 0.5000 0.5000 0.0000  8 Cl 3.31, 4 Te 3.38
Cl 0.0000 0.5000 0.5000  4 Pb 3.31, 4 Te 3.31, 4 Cl 3.38
Cl 0.5000 0.0000 0.5000  4 Pb 3.31, 4 Te 3.31, 4 Cl 3.38

***

Stability order, top to bottom: A, B

***

## A
The following is a DFT calculation (PBE) of a geometry-optimized TePbCl2 structure.

Space-group type: Cmmm
Spin magnetization in μB per formula unit: 0.0
ρ in g/cm3: 6.5

Cell: 6.6991 9.0562 3.4256 Å, 90.00 90.00 90.00°
Last column: nearest neighbours and their distance in Å.
Element x y z (fractional)
Te 0.0000 0.0000 0.0000  8 Cl 3.30, 2 Pb 3.35, 2 Te 3.43
Te 0.5000 0.5000 0.0000  8 Cl 3.30, 2 Pb 3.35, 2 Te 3.43
Pb 0.0000 0.5000 0.0000  8 Cl 3.30, 2 Te 3.35, 2 Pb 3.43
Pb 0.5000 0.0000 0.0000  8 Cl 3.30, 2 Te 3.35, 2 Pb 3.43
Cl 0.2500 0.2500 0.5000  4 Pb 3.30, 4 Te 3.30, 4 Cl 3.35-3.43
Cl 0.2500 0.7500 0.5000  4 Pb 3.30, 4 Te 3.30, 4 Cl 3.35-3.43
Cl 0.7500 0.2500 0.5000  4 Pb 3.30, 4 Te 3.30, 4 Cl 3.35-3.43
Cl 0.7500 0.7500 0.5000  4 Pb 3.30, 4 Te 3.30, 4 Cl 3.35-3.43

***

## B
The following is a DFT calculation (PBE) of a geometry-optimized TePbCl2 structure.

Space-group type: Pmm2
Spin magnetization in μB per formula unit: 0.0
ρ in g/cm3: 4.3

Cell: 4.6876 4.7011 7.0473 Å, 90.00 90.00 90.00°
Last column: nearest neighbours and their distance in Å.
Element x y z (fractional)
Te 0.0000 0.0000 0.0000  1 Cl 2.38
Pb 0.5000 0.5000 0.9834  1 Cl 2.53
Cl 0.0000 0.0000 0.6625  1 Te 2.38
Cl 0.5000 0.5000 0.3419  1 Pb 2.53

***

Stability order, top to bottom: B, A